A geometry-optimized ScNiCl2 structure. Source: Alexandria, functional PBE.

The calculation puts the energy above the most stable polymorph in this dataset at 428 meV/atom. The density of states at the Fermi level comes out at 3.1 states/eV/cell.

a b c (Å): 3.329 3.838 5.353
angles (deg): 90.00 90.00 90.00
Space group Pmmm (No. 47)
Symmetry-distinct sites (fractional):
Sc: 0.000 0.000 0.000 [1 per cell]
Ni: 0.500 0.000 0.500 [1 per cell]
Cl: 0.000 0.500 0.500 [1 per cell]
Cl: 0.500 0.500 0.000 [1 per cell]



A geometry-optimized ScNi4Cl structure. Source: Alexandria, functional PBE.

The density of states at the Fermi level comes out at 34.4 states/eV/cell.

a b c (Å): 6.909 6.909 6.909
angles (deg): 90.00 90.00 90.00
Space group F-43m (No. 216)
Symmetry-distinct sites (fractional):
Sc: 0.000 0.000 0.000 [4 per cell]
Ni: 0.126 0.126 0.374 [16 per cell]
Cl: 0.250 0.250 0.750 [4 per cell]



A geometry-optimized ScNiCl3 structure. Source: Alexandria, functional PBE.

The calculation puts the energy above the most stable polymorph in this dataset at 165 meV/atom. The density of states at the Fermi level comes out at 9.5 states/eV/cell.

a b c (Å): 4.632 4.632 4.632
angles (deg): 90.00 90.00 90.00
Space group Pm-3m (No. 221)
Symmetry-distinct sites (fractional):
Sc: 0.000 0.000 0.000 [1 per cell]
Ni: 0.500 0.500 0.500 [1 per cell]
Cl: 0.000 0.500 0.500 [3 per cell]



A geometry-optimized ScNi2Cl structure. Source: Alexandria, functional PBE.

The calculation puts the energy above the most stable polymorph in this dataset at 164 meV/atom. The density of states at the Fermi level comes out at 2.1 states/eV/cell.

a b c (Å): 3.189 3.802 5.067
angles (deg): 90.00 91.03 90.00
Space group P2/m (No. 10)
Symmetry-distinct sites (fractional):
Sc: 0.000 0.000 0.000 [1 per cell]
Ni: 0.495 0.500 0.767 [2 per cell]
Cl: 0.500 0.000 0.500 [1 per cell]



A geometry-optimized ScNi2Cl structure. Source: Alexandria, functional PBE.

The calculation puts the energy above the most stable polymorph in this dataset at 0 meV/atom. The density of states at the Fermi level comes out at 0.9 states/eV/cell.

a b c (Å): 6.560 3.784 6.079
angles (deg): 90.00 90.20 90.00
Space group Cm (No. 8)
Symmetry-distinct sites (fractional):
Sc: 0.000 0.000 0.000 [2 per cell]
Ni: 0.166 0.500 0.752 [2 per cell]
Ni: 0.333 0.000 0.706 [2 per cell]
Cl: 0.334 0.000 0.272 [2 per cell]



A geometry-optimized ScNi2Cl structure. Source: Alexandria, functional PBE.

The calculation puts the energy above the most stable polymorph in this dataset at 322 meV/atom. The density of states at the Fermi level comes out at 3.1 states/eV/cell.

a b c (Å): 4.253 4.773 6.031
angles (deg): 90.00 90.00 90.00
Space group Imm2 (No. 44)
Symmetry-distinct sites (fractional):
Sc: 0.000 0.000 0.000 [2 per cell]
Ni: 0.000 0.000 0.535 [2 per cell]
Ni: 0.000 0.500 0.755 [2 per cell]
Cl: 0.000 0.500 0.134 [2 per cell]



A geometry-optimized ScNiCl2 structure. Source: Alexandria, functional PBE.

The calculation puts the energy above the most stable polymorph in this dataset at 368 meV/atom. The density of states at the Fermi level comes out at 2.8 states/eV/cell.

a b c (Å): 3.201 3.422 6.099
angles (deg): 90.00 90.94 90.00
Space group P2/m (No. 10)
Symmetry-distinct sites (fractional):
Sc: 0.000 0.000 0.000 [1 per cell]
Ni: 0.500 0.000 0.500 [1 per cell]
Cl: 0.496 0.500 0.760 [2 per cell]



A geometry-optimized ScNiCl2 structure. Source: Alexandria, functional PBE.

The calculation puts the energy above the most stable polymorph in this dataset at 403 meV/atom. The density of states at the Fermi level comes out at 11.3 states/eV/cell.

a b c (Å): 5.539 5.539 10.754
angles (deg): 90.00 90.00 90.00
Space group I-42d (No. 122)
Symmetry-distinct sites (fractional):
Sc: 0.000 0.000 0.000 [4 per cell]
Ni: 0.000 0.000 0.500 [4 per cell]
Cl: 0.212 0.250 0.625 [8 per cell]



A geometry-optimized Sc2NiCl structure. Source: Alexandria, functional PBE.

The calculation puts the energy above the most stable polymorph in this dataset at 405 meV/atom. The density of states at the Fermi level comes out at 7.5 states/eV/cell.

a b c (Å): 3.140 4.362 10.886
angles (deg): 90.00 90.00 90.00
Space group Imm2 (No. 44)
Symmetry-distinct sites (fractional):
Sc: 0.000 0.000 0.000 [2 per cell]
Sc: 0.000 0.500 0.227 [2 per cell]
Ni: 0.000 0.000 0.508 [2 per cell]
Cl: 0.000 0.500 0.722 [2 per cell]



A geometry-optimized ScNiCl3 structure. Source: Alexandria, functional PBE.

The calculation puts the energy above the most stable polymorph in this dataset at 0 meV/atom. The density of states at the Fermi level comes out at 8.5 states/eV/cell.

a b c (Å): 4.981 4.981 4.981
angles (deg): 90.00 90.00 90.00
Space group Pm-3m (No. 221)
Symmetry-distinct sites (fractional):
Sc: 0.000 0.000 0.000 [1 per cell]
Ni: 0.500 0.500 0.500 [1 per cell]
Cl: 0.000 0.000 0.500 [3 per cell]



A geometry-optimized ScNiCl2 structure. Source: Alexandria, functional PBE.

The calculation puts the energy above the most stable polymorph in this dataset at 666 meV/atom. The density of states at the Fermi level comes out at 18.7 states/eV/cell.

a b c (Å): 6.553 6.553 6.553
angles (deg): 90.00 90.00 90.00
Space group F-43m (No. 216)
Symmetry-distinct sites (fractional):
Sc: 0.000 0.000 0.000 [4 per cell]
Ni: 0.250 0.250 0.750 [4 per cell]
Cl: 0.000 0.000 0.500 [4 per cell]
Cl: 0.250 0.250 0.250 [4 per cell]



A geometry-optimized ScNi2Cl structure. Source: Alexandria, functional PBE.

The calculation puts the energy above the most stable polymorph in this dataset at 704 meV/atom. The density of states at the Fermi level comes out at 0.6 states/eV/cell.

a b c (Å): 5.892 5.892 8.837
angles (deg): 90.00 90.00 90.00
Space group I-42d (No. 122)
Symmetry-distinct sites (fractional):
Sc: 0.000 0.000 0.000 [4 per cell]
Ni: 0.203 0.250 0.625 [8 per cell]
Cl: 0.000 0.000 0.500 [4 per cell]



A geometry-optimized ScNiCl2 structure. Source: Alexandria, functional PBE.

The calculation puts the energy above the most stable polymorph in this dataset at 132 meV/atom. The density of states at the Fermi level comes out at 6.0 states/eV/cell.

a b c (Å): 4.010 5.453 7.869
angles (deg): 90.00 90.00 90.00
Space group Cmm2 (No. 35)
Symmetry-distinct sites (fractional):
Sc: 0.000 0.000 0.000 [2 per cell]
Ni: 0.000 0.500 0.202 [2 per cell]
Cl: 0.000 0.000 0.338 [2 per cell]
Cl: 0.000 0.500 0.789 [2 per cell]



A geometry-optimized ScNiCl2 structure. Source: Alexandria, functional PBE.

The calculation puts the energy above the most stable polymorph in this dataset at 74 meV/atom. The density of states at the Fermi level comes out at 2.8 states/eV/cell.

a b c (Å): 11.999 3.320 4.947
angles (deg): 90.00 101.14 90.00
Space group Cm (No. 8)
Symmetry-distinct sites (fractional):
Sc: 0.000 0.000 0.000 [2 per cell]
Ni: 0.124 0.500 0.816 [2 per cell]
Cl: 0.109 0.500 0.349 [2 per cell]
Cl: 0.335 0.000 0.904 [2 per cell]



A geometry-optimized ScNi2Cl structure. Source: Alexandria, functional PBE.

The calculation puts the energy above the most stable polymorph in this dataset at 305 meV/atom. The density of states at the Fermi level comes out at 2.9 states/eV/cell.

a b c (Å): 3.538 3.538 4.785
angles (deg): 90.00 90.00 90.00
Space group P4/mmm (No. 123)
Symmetry-distinct sites (fractional):
Sc: 0.000 0.000 0.000 [1 per cell]
Ni: 0.000 0.500 0.500 [2 per cell]
Cl: 0.500 0.500 0.000 [1 per cell]



A geometry-optimized ScNi2Cl structure. Source: Alexandria, functional PBE.

The calculation puts the energy above the most stable polymorph in this dataset at 10 meV/atom. The density of states at the Fermi level comes out at 10.5 states/eV/cell.

a b c (Å): 3.7852 3.7852 20.0885
angles (deg): 90.00 90.00 120.00
Space group R3m (No. 160, hexagonal axes)
Symmetry-distinct sites (fractional):
Sc: 0.0000 0.0000 0.0000 [3 per cell]
Ni: 0.0000 0.0000 0.4188 [3 per cell]
Ni: 0.0000 0.0000 0.7454 [3 per cell]
Cl: 0.0000 0.0000 0.2540 [3 per cell]



A geometry-optimized ScNiCl4 structure. Source: Alexandria, functional PBE.

The density of states at the Fermi level comes out at 52.9 states/eV/cell.

a b c (Å): 8.071 8.071 8.071
angles (deg): 90.00 90.00 90.00
Space group F-43m (No. 216)
Symmetry-distinct sites (fractional):
Sc: 0.000 0.000 0.000 [4 per cell]
Ni: 0.250 0.250 0.250 [4 per cell]
Cl: 0.125 0.125 0.625 [16 per cell]



A geometry-optimized ScNiCl structure. Source: Alexandria, functional PBE.

The density of states at the Fermi level comes out at 12.2 states/eV/cell.

a b c (Å): 6.145 6.145 6.145
angles (deg): 90.00 90.00 90.00
Space group F-43m (No. 216)
Symmetry-distinct sites (fractional):
Sc: 0.000 0.000 0.000 [4 per cell]
Ni: 0.250 0.250 0.750 [4 per cell]
Cl: 0.000 0.000 0.500 [4 per cell]



A geometry-optimized Sc2NiCl structure. Source: Alexandria, functional PBE.

The calculation puts the energy above the most stable polymorph in this dataset at 360 meV/atom. The density of states at the Fermi level comes out at 3.2 states/eV/cell.

a b c (Å): 3.194 3.194 8.578
angles (deg): 90.00 90.00 90.00
Space group P4mm (No. 99)
Symmetry-distinct sites (fractional):
Sc: 0.000 0.000 0.000 [1 per cell]
Sc: 0.500 0.500 0.304 [1 per cell]
Ni: 0.500 0.500 0.847 [1 per cell]
Cl: 0.000 0.000 0.474 [1 per cell]



A geometry-optimized Sc2NiCl structure. Source: Alexandria, functional PBE.

The calculation puts the energy above the most stable polymorph in this dataset at 47 meV/atom. The density of states at the Fermi level comes out at 9.0 states/eV/cell.

a b c (Å): 3.8130 3.8130 22.6735
angles (deg): 90.00 90.00 120.00
Space group R-3m (No. 166, hexagonal axes)
Symmetry-distinct sites (fractional):
Sc: 0.0000 0.0000 0.1101 [6 per cell]
Ni: 0.0000 0.0000 0.5000 [3 per cell]
Cl: 0.0000 0.0000 0.0000 [3 per cell]



What are the formation energy (no corrections) values for these records? In order: -0.55, -0.06, -0.53, -0.32, -0.48, -0.16, -0.61, -0.57, -0.43, -0.69, -0.31, 0.22, -0.84, -0.90, -0.18, -0.47, 0.47, -0.12, -0.48, -0.79 eV per atom.